# Li2CaRe (PBEsol, optimized geometry)
# Formation energy from the elements, eV per atom: 0.8640
# Energy above the most stable polymorph in this dataset, eV per formula unit: 1.09
data_Li2CaRe
_chemical_formula_sum 'Li8 Ca4 Re4'
_space_group_name_H-M_alt 'F m -3 m'
_space_group_IT_number 225
_space_group_name_Hall '-F 4 2 3'
_cell_length_a 6.5560
_cell_length_b 6.5560
_cell_length_c 6.5560
_cell_angle_alpha 90.00
_cell_angle_beta 90.00
_cell_angle_gamma 90.00
loop_
_atom_site_label
_atom_site_fract_x
_atom_site_fract_y
_atom_site_fract_z
Li1 0.2500 0.2500 0.2500
Ca1 0.0000 0.0000 0.0000
Re1 0.0000 0.0000 0.5000

---

# SiP4Rh (PBEsol, optimized geometry)
# Formation energy without anion corrections, eV/atom: 0.667
data_SiP4Rh
_chemical_formula_sum 'Si4 P16 Rh4'
_space_group_name_H-M_alt 'F -4 3 m'
_space_group_IT_number 216
_space_group_name_Hall 'F -4 2 3'
_cell_length_a 6.9854
_cell_length_b 6.9854
_cell_length_c 6.9854
_cell_angle_alpha 90.00
_cell_angle_beta 90.00
_cell_angle_gamma 90.00
loop_
_atom_site_label
_atom_site_fract_x
_atom_site_fract_y
_atom_site_fract_z
Si1 0.0000 0.0000 0.0000
P1 0.1267 0.1267 0.3733
Rh1 0.2500 0.2500 0.7500

---

# Tl4TeMo (PBEsol, optimized geometry)
# Formation energy without anion corrections, eV/atom: 0.823
data_Tl4TeMo
_chemical_formula_sum 'Tl16 Te4 Mo4'
_space_group_name_H-M_alt 'F -4 3 m'
_space_group_IT_number 216
_space_group_name_Hall 'F -4 2 3'
_cell_length_a 8.7412
_cell_length_b 8.7412
_cell_length_c 8.7412
_cell_angle_alpha 90.00
_cell_angle_beta 90.00
_cell_angle_gamma 90.00
loop_
_atom_site_label
_atom_site_fract_x
_atom_site_fract_y
_atom_site_fract_z
Tl1 0.1252 0.1252 0.1252
Te1 0.2500 0.2500 0.7500
Mo1 0.0000 0.0000 0.5000

---

# ZrCdTc2 (PBEsol, optimized geometry)
# Formation energy from the elements, eV per atom: 0.0918
data_ZrCdTc2
_chemical_formula_sum 'Zr1 Cd1 Tc2'
_space_group_name_H-M_alt 'P m m 2'
_space_group_IT_number 25
_space_group_name_Hall 'P 2 -2'
_cell_length_a 2.9741
_cell_length_b 3.8860
_cell_length_c 5.8545
_cell_angle_alpha 90.00
_cell_angle_beta 90.00
_cell_angle_gamma 90.00
loop_
_atom_site_label
_atom_site_fract_x
_atom_site_fract_y
_atom_site_fract_z
Zr1 0.0000 0.0000 0.0000
Cd1 0.5000 0.5000 0.2896
Tc1 0.0000 0.0000 0.5622
Tc2 0.5000 0.5000 0.7577

---

# RbSrInSb2 (PBEsol, optimized geometry)
# Formation energy without anion corrections, eV/atom: 0.072
data_RbSrInSb2
_chemical_formula_sum 'Rb1 Sr1 In1 Sb2'
_space_group_name_H-M_alt 'P 4/m m m'
_space_group_IT_number 123
_space_group_name_Hall '-P 4 2'
_cell_length_a 5.7747
_cell_length_b 5.7747
_cell_length_c 5.7576
_cell_angle_alpha 90.00
_cell_angle_beta 90.00
_cell_angle_gamma 90.00
loop_
_atom_site_label
_atom_site_fract_x
_atom_site_fract_y
_atom_site_fract_z
Rb1 0.0000 0.0000 0.0000
Sr1 0.5000 0.5000 0.0000
In1 0.0000 0.0000 0.5000
Sb1 0.0000 0.5000 0.5000

---

# NpSi2Ir2 (PBEsol, optimized geometry)
# Formation energy without anion corrections, eV/atom: -0.670
data_NpSi2Ir2
_chemical_formula_sum 'Np2 Si4 Ir4'
_space_group_name_H-M_alt 'P 4/n m m'
_space_group_IT_number 129
_cell_length_a 4.0741
_cell_length_b 4.0741
_cell_length_c 9.8169
_cell_angle_alpha 90.00
_cell_angle_beta 90.00
_cell_angle_gamma 90.00
loop_
_space_group_symop_operation_xyz
'x,y,z'
'-x,-y,-z'
'-y+1/2,x,z'
'y+1/2,-x,-z'
'-x+1/2,-y+1/2,z'
'x+1/2,y+1/2,-z'
'y,-x+1/2,z'
'-y,x+1/2,-z'
'x+1/2,-y,-z'
'-x+1/2,y,z'
'-y,-x,-z'
'y,x,z'
'-x,y+1/2,-z'
'x,-y+1/2,z'
'y+1/2,x+1/2,-z'
'-y+1/2,-x+1/2,z'
loop_
_atom_site_label
_atom_site_fract_x
_atom_site_fract_y
_atom_site_fract_z
Np1 0.2500 0.2500 0.2423
Si1 0.2500 0.2500 0.6314
Si2 0.2500 0.7500 0.0000
Ir1 0.2500 0.2500 0.8703
Ir2 0.2500 0.7500 0.5000

---

# ZnInW2 (PBEsol, optimized geometry)
# Formation energy from the elements, eV per atom: 0.8380
data_ZnInW2
_chemical_formula_sum 'Zn4 In4 W8'
_space_group_name_H-M_alt 'F m -3 m'
_space_group_IT_number 225
_space_group_name_Hall '-F 4 2 3'
_cell_length_a 6.3467
_cell_length_b 6.3467
_cell_length_c 6.3467
_cell_angle_alpha 90.00
_cell_angle_beta 90.00
_cell_angle_gamma 90.00
loop_
_atom_site_label
_atom_site_fract_x
_atom_site_fract_y
_atom_site_fract_z
Zn1 0.0000 0.0000 0.0000
In1 0.0000 0.0000 0.5000
W1 0.2500 0.2500 0.2500

---

# Ta2Cd (PBEsol, optimized geometry)
# Formation energy from the elements, eV per atom: 0.2818
data_Ta2Cd
_chemical_formula_sum 'Ta4 Cd2'
_space_group_name_H-M_alt 'I m m m'
_space_group_IT_number 71
_space_group_name_Hall '-I 2 2'
_cell_length_a 2.9778
_cell_length_b 3.9539
_cell_length_c 9.3490
_cell_angle_alpha 90.00
_cell_angle_beta 90.00
_cell_angle_gamma 90.00
loop_
_atom_site_label
_atom_site_fract_x
_atom_site_fract_y
_atom_site_fract_z
Ta1 0.0000 0.0000 0.1720
Cd1 0.0000 0.0000 0.5000

---

# Nb2C (PBEsol, optimized geometry)
# Formation energy from the elements, eV per atom: -0.5147
data_Nb2C
_chemical_formula_sum 'Nb8 C4'
_space_group_name_H-M_alt 'P n m a'
_space_group_IT_number 62
_space_group_name_Hall '-P 2ac 2n'
_cell_length_a 10.9160
_cell_length_b 3.0848
_cell_length_c 4.9618
_cell_angle_alpha 90.00
_cell_angle_beta 90.00
_cell_angle_gamma 90.00
loop_
_atom_site_label
_atom_site_fract_x
_atom_site_fract_y
_atom_site_fract_z
Nb1 0.0452 0.2500 0.2466
Nb2 0.2037 0.2500 0.7357
C1 0.1249 0.7500 0.9913

---

# Tm8Ga3Co (PBEsol, optimized geometry)
# Formation energy from the elements, eV per atom: -0.4481
data_Tm8Ga3Co
_chemical_formula_sum 'Tm16 Ga6 Co2'
_space_group_name_H-M_alt 'P 63 m c'
_space_group_IT_number 186
_space_group_name_Hall 'P 6c -2c'
_cell_length_a 9.7218
_cell_length_b 9.7218
_cell_length_c 6.6816
_cell_angle_alpha 90.00
_cell_angle_beta 90.00
_cell_angle_gamma 120.00
loop_
_atom_site_label
_atom_site_fract_x
_atom_site_fract_y
_atom_site_fract_z
Tm1 0.0000 0.0000 0.0995
Tm2 0.0704 0.5352 0.1213
Tm3 0.1732 0.3464 0.8210
Tm4 0.3333 0.6667 0.5000
Ga1 0.1635 0.3270 0.3684
Co1 0.3333 0.6667 0.8882

---

# Ni3Ir2 (PBEsol, optimized geometry)
# Formation energy from the elements, eV per atom: 0.0581
data_Ni3Ir2
_chemical_formula_sum 'Ni9 Ir6'
_space_group_name_H-M_alt 'R -3 m'
_space_group_IT_number 166
_space_group_name_Hall '-R 3 2"'
_cell_length_a 2.6212
_cell_length_b 2.6212
_cell_length_c 30.5384
_cell_angle_alpha 90.00
_cell_angle_beta 90.00
_cell_angle_gamma 120.00
loop_
_atom_site_label
_atom_site_fract_x
_atom_site_fract_y
_atom_site_fract_z
Ni1 0.0000 0.0000 0.0000
Ni2 0.0000 0.0000 0.1983
Ir1 0.0000 0.0000 0.4011

---

# K2InReAs (PBEsol, optimized geometry)
# Formation energy from the elements, eV per atom: 0.8705
data_K2InReAs
_chemical_formula_sum 'K2 In1 Re1 As1'
_space_group_name_H-M_alt 'P 4/m m m'
_space_group_IT_number 123
_space_group_name_Hall '-P 4 2'
_cell_length_a 6.2526
_cell_length_b 6.2526
_cell_length_c 4.6565
_cell_angle_alpha 90.00
_cell_angle_beta 90.00
_cell_angle_gamma 90.00
loop_
_atom_site_label
_atom_site_fract_x
_atom_site_fract_y
_atom_site_fract_z
K1 0.0000 0.5000 0.0000
In1 0.0000 0.0000 0.5000
Re1 0.5000 0.5000 0.0000
As1 0.5000 0.5000 0.5000

---

no.,V (Å³ per cell)
1,281.8
2,340.9
3,667.9
4,67.7
5,192.0
6,162.9
7,255.6
8,110.1
9,167.1
10,546.9
11,181.7
12,182.0